(1)
Here is a geometry-optimized BiCIN2 structure from Alexandria. Energies are from PBE.

abc: 4.207 4.207 7.441
angles: 90.00 90.00 90.00
Space group P4/mmm (No. 123)
Symmetry-distinct sites (fractional):
Bi 0.000 0.000 0.000 (multiplicity 1)
C 0.500 0.500 0.500 (multiplicity 1)
I 0.000 0.000 0.500 (multiplicity 1)
N 0.000 0.500 0.000 (multiplicity 2)

The polymorph energy (0 for the lowest one) is 0.1638 eV/atom. The calculation puts the calculated volume at 26.34 Å³ per atom. The value obtained for the raw formation energy is 2.688 eV per atom. As for the crystal system: tetragonal.


(2)
Here is a geometry-optimized NbBiC2I structure from Alexandria. Energies are from PBE.

abc: 4.294 4.294 5.419
angles: 90.00 90.00 90.00
Space group P4/mmm (No. 123)
Symmetry-distinct sites (fractional):
Nb 0.000 0.000 0.000 (multiplicity 1)
Bi 0.500 0.500 0.000 (multiplicity 1)
C 0.000 0.500 0.500 (multiplicity 2)
I 0.000 0.000 0.500 (multiplicity 1)

The calculation puts the calculated volume at 19.98 Å³ per atom. The value obtained for the raw formation energy is 2.679 eV per atom. As for the crystal system: tetragonal.


(3)
Here is a geometry-optimized Bi2PtCI structure from Alexandria. Energies are from PBE.

abc: 5.600 5.600 3.879
angles: 90.00 90.00 90.00
Space group P4/mmm (No. 123)
Symmetry-distinct sites (fractional):
Bi 0.000 0.500 0.000 (multiplicity 2)
Pt 0.000 0.000 0.500 (multiplicity 1)
C 0.000 0.000 0.000 (multiplicity 1)
I 0.500 0.500 0.500 (multiplicity 1)

The calculation puts the calculated volume at 24.33 Å³ per atom. The value obtained for the raw formation energy is 0.585 eV per atom. As for the crystal system: tetragonal.


(4)
Here is a geometry-optimized RbBi2CI structure from Alexandria. Energies are from PBE.

abc: 4.903 4.903 9.691
angles: 90.00 90.00 90.00
Space group P4/mmm (No. 123)
Symmetry-distinct sites (fractional):
Rb 0.000 0.000 0.000 (multiplicity 1)
Bi 0.000 0.500 0.500 (multiplicity 2)
C 0.500 0.500 0.500 (multiplicity 1)
I 0.500 0.500 0.000 (multiplicity 1)

The calculation puts the calculated volume at 46.59 Å³ per atom. The value obtained for the raw formation energy is 0.568 eV per atom. As for the crystal system: tetragonal.


(5)
Here is a geometry-optimized BiSbCI2 structure from Alexandria. Energies are from PBE.

abc: 6.186 6.186 6.147
angles: 90.00 90.00 90.00
Space group P4/mmm (No. 123)
Symmetry-distinct sites (fractional):
Bi 0.000 0.000 0.000 (multiplicity 1)
Sb 0.000 0.000 0.500 (multiplicity 1)
C 0.500 0.500 0.500 (multiplicity 1)
I 0.000 0.500 0.000 (multiplicity 2)

The polymorph energy (0 for the lowest one) is 0.6834 eV/atom. The calculation puts the calculated volume at 47.05 Å³ per atom. The value obtained for the raw formation energy is 1.724 eV per atom. As for the crystal system: tetragonal.


(6)
Here is a geometry-optimized BiSb2CI structure from Alexandria. Energies are from PBE.

abc: 5.972 5.972 6.109
angles: 90.00 90.00 90.00
Space group P4/mmm (No. 123)
Symmetry-distinct sites (fractional):
Bi 0.000 0.000 0.000 (multiplicity 1)
Sb 0.000 0.500 0.000 (multiplicity 2)
C 0.500 0.500 0.500 (multiplicity 1)
I 0.000 0.000 0.500 (multiplicity 1)

The polymorph energy (0 for the lowest one) is 1.0370 eV/atom. The calculation puts the calculated volume at 43.57 Å³ per atom. The value obtained for the raw formation energy is 2.028 eV per atom. As for the crystal system: tetragonal.


(7)
Here is a geometry-optimized BiSbCI2 structure from Alexandria. Energies are from PBE.

abc: 5.070 5.070 5.004
angles: 90.00 90.00 90.00
Space group P4/mmm (No. 123)
Symmetry-distinct sites (fractional):
Bi 0.000 0.000 0.000 (multiplicity 1)
Sb 0.500 0.500 0.000 (multiplicity 1)
C 0.500 0.500 0.500 (multiplicity 1)
I 0.000 0.500 0.500 (multiplicity 2)

The polymorph energy (0 for the lowest one) is 0.0000 eV/atom. The calculation puts the calculated volume at 25.72 Å³ per atom. The value obtained for the raw formation energy is 1.041 eV per atom. As for the crystal system: tetragonal.


(8)
Here is a geometry-optimized BiSb2CI structure from Alexandria. Energies are from PBE.

abc: 4.948 4.948 5.003
angles: 90.00 90.00 90.00
Space group P4/mmm (No. 123)
Symmetry-distinct sites (fractional):
Bi 0.000 0.000 0.000 (multiplicity 1)
Sb 0.000 0.500 0.500 (multiplicity 2)
C 0.500 0.500 0.500 (multiplicity 1)
I 0.500 0.500 0.000 (multiplicity 1)

The polymorph energy (0 for the lowest one) is 0.0000 eV/atom. The calculation puts the calculated volume at 24.50 Å³ per atom. The value obtained for the raw formation energy is 0.991 eV per atom. As for the crystal system: tetragonal.


(9)
Here is a geometry-optimized BiCSeI2 structure from Alexandria. Energies are from PBE.

abc: 6.211 6.211 5.441
angles: 90.00 90.00 90.00
Space group P4/mmm (No. 123)
Symmetry-distinct sites (fractional):
Bi 0.000 0.000 0.000 (multiplicity 1)
C 0.500 0.500 0.500 (multiplicity 1)
Se 0.000 0.000 0.500 (multiplicity 1)
I 0.000 0.500 0.000 (multiplicity 2)

The calculation puts the calculated volume at 41.98 Å³ per atom. The value obtained for the raw formation energy is 1.559 eV per atom. As for the crystal system: tetragonal.


(10)
Here is a geometry-optimized BiTeCI2 structure from Alexandria. Energies are from PBE.

abc: 6.087 6.087 6.202
angles: 90.00 90.00 90.00
Space group P4/mmm (No. 123)
Symmetry-distinct sites (fractional):
Bi 0.000 0.000 0.000 (multiplicity 1)
Te 0.000 0.000 0.500 (multiplicity 1)
C 0.500 0.500 0.500 (multiplicity 1)
I 0.000 0.500 0.000 (multiplicity 2)

The polymorph energy (0 for the lowest one) is 0.5602 eV/atom. The calculation puts the calculated volume at 45.96 Å³ per atom. The value obtained for the raw formation energy is 1.565 eV per atom. As for the crystal system: tetragonal.


(11)
Here is a geometry-optimized BiTe2CI structure from Alexandria. Energies are from PBE.

abc: 5.999 5.999 5.975
angles: 90.00 90.00 90.00
Space group P4/mmm (No. 123)
Symmetry-distinct sites (fractional):
Bi 0.000 0.000 0.000 (multiplicity 1)
Te 0.000 0.500 0.000 (multiplicity 2)
C 0.500 0.500 0.500 (multiplicity 1)
I 0.000 0.000 0.500 (multiplicity 1)

The polymorph energy (0 for the lowest one) is 0.9939 eV/atom. The calculation puts the calculated volume at 43.00 Å³ per atom. The value obtained for the raw formation energy is 1.936 eV per atom. As for the crystal system: tetragonal.


(12)
Here is a geometry-optimized BiTe2CI structure from Alexandria. Energies are from PBE.

abc: 4.918 4.918 5.111
angles: 90.00 90.00 90.00
Space group P4/mmm (No. 123)
Symmetry-distinct sites (fractional):
Bi 0.000 0.000 0.000 (multiplicity 1)
Te 0.000 0.500 0.500 (multiplicity 2)
C 0.500 0.500 0.500 (multiplicity 1)
I 0.500 0.500 0.000 (multiplicity 1)

The polymorph energy (0 for the lowest one) is 0.0000 eV/atom. The calculation puts the calculated volume at 24.72 Å³ per atom. The value obtained for the raw formation energy is 0.943 eV per atom. As for the crystal system: tetragonal.


(13)
Here is a geometry-optimized BiTeCI2 structure from Alexandria. Energies are from PBE.

abc: 5.079 5.079 5.023
angles: 90.00 90.00 90.00
Space group P4/mmm (No. 123)
Symmetry-distinct sites (fractional):
Bi 0.000 0.000 0.000 (multiplicity 1)
Te 0.500 0.500 0.000 (multiplicity 1)
C 0.500 0.500 0.500 (multiplicity 1)
I 0.000 0.500 0.500 (multiplicity 2)

The polymorph energy (0 for the lowest one) is 0.0000 eV/atom. The calculation puts the calculated volume at 25.91 Å³ per atom. The value obtained for the raw formation energy is 1.004 eV per atom. As for the crystal system: tetragonal.


(14)
Here is a geometry-optimized In3BiC structure from Alexandria. Energies are from PBE.

abc: 4.884 4.884 4.884
angles: 90.00 90.00 90.00
Space group Pm-3m (No. 221)
Symmetry-distinct sites (fractional):
In 0.000 0.000 0.500 (multiplicity 3)
Bi 0.500 0.500 0.500 (multiplicity 1)
C 0.000 0.000 0.000 (multiplicity 1)

The polymorph energy (0 for the lowest one) is 0.0000 eV/atom. The formation energy comes out at 651 meV/atom. The calculation puts the calculated volume at 23.30 Å³ per atom. As for the crystal system: cubic.


(15)
Here is a geometry-optimized InBiC3 structure from Alexandria. Energies are from PBE.

abc: 4.391 4.391 4.391
angles: 90.00 90.00 90.00
Space group Pm-3m (No. 221)
Symmetry-distinct sites (fractional):
In 0.000 0.000 0.000 (multiplicity 1)
Bi 0.500 0.500 0.500 (multiplicity 1)
C 0.000 0.000 0.500 (multiplicity 3)

The polymorph energy (0 for the lowest one) is 0.0000 eV/atom. The formation energy comes out at 2855 meV/atom. The calculation puts the calculated volume at 16.93 Å³ per atom. As for the crystal system: cubic.


(16)
Here is a geometry-optimized In3BiC structure from Alexandria. Energies are from PBE.

abc: 5.992 5.992 5.992
angles: 90.00 90.00 90.00
Space group Pm-3m (No. 221)
Symmetry-distinct sites (fractional):
In 0.000 0.000 0.500 (multiplicity 3)
Bi 0.000 0.000 0.000 (multiplicity 1)
C 0.500 0.500 0.500 (multiplicity 1)

The polymorph energy (0 for the lowest one) is 1.1327 eV/atom. The formation energy comes out at 1783 meV/atom. The calculation puts the calculated volume at 43.03 Å³ per atom. As for the crystal system: cubic.


(17)
Here is a geometry-optimized InBiC2 structure from Alexandria. Energies are from PBE.

abc: 6.364 6.364 6.364
angles: 90.00 90.00 90.00
Space group Fm-3m (No. 225)
Symmetry-distinct sites (fractional):
In 0.000 0.000 0.000 (multiplicity 4)
Bi 0.000 0.000 0.500 (multiplicity 4)
C 0.250 0.250 0.250 (multiplicity 8)

The polymorph energy (0 for the lowest one) is 0.8847 eV/atom. The formation energy comes out at 2164 meV/atom. The calculation puts the calculated volume at 16.11 Å³ per atom. As for the crystal system: cubic.


(18)
Here is a geometry-optimized InBi3C structure from Alexandria. Energies are from PBE.

abc: 5.093 5.093 5.093
angles: 90.00 90.00 90.00
Space group Pm-3m (No. 221)
Symmetry-distinct sites (fractional):
In 0.000 0.000 0.000 (multiplicity 1)
Bi 0.000 0.500 0.500 (multiplicity 3)
C 0.500 0.500 0.500 (multiplicity 1)

The polymorph energy (0 for the lowest one) is 0.0000 eV/atom. The formation energy comes out at 866 meV/atom. The calculation puts the calculated volume at 26.42 Å³ per atom. As for the crystal system: cubic.


(19)
Here is a geometry-optimized InBiC2 structure from Alexandria. Energies are from PBE.

abc: 5.273 5.273 10.514
angles: 90.00 90.00 90.00
Space group I-42d (No. 122)
Symmetry-distinct sites (fractional):
In 0.000 0.000 0.000 (multiplicity 4)
Bi 0.000 0.000 0.500 (multiplicity 4)
C 0.246 0.250 0.125 (multiplicity 8)

The polymorph energy (0 for the lowest one) is 0.0000 eV/atom. The formation energy comes out at 1280 meV/atom. The calculation puts the calculated volume at 18.27 Å³ per atom. As for the crystal system: tetragonal.


(20)
Here is a geometry-optimized In2BiC structure from Alexandria. Energies are from PBE.

abc: 7.203 7.203 7.203
angles: 90.00 90.00 90.00
Space group Fm-3m (No. 225)
Symmetry-distinct sites (fractional):
In 0.250 0.250 0.250 (multiplicity 8)
Bi 0.000 0.000 0.000 (multiplicity 4)
C 0.000 0.000 0.500 (multiplicity 4)

The formation energy comes out at 1415 meV/atom. The calculation puts the calculated volume at 23.36 Å³ per atom. As for the crystal system: cubic.


(21)
Here is a geometry-optimized InBi3C structure from Alexandria. Energies are from PBE.

abc: 5.776 5.776 5.776
angles: 90.00 90.00 90.00
Space group Pm-3m (No. 221)
Symmetry-distinct sites (fractional):
In 0.000 0.000 0.000 (multiplicity 1)
Bi 0.000 0.000 0.500 (multiplicity 3)
C 0.500 0.500 0.500 (multiplicity 1)

The polymorph energy (0 for the lowest one) is 1.1449 eV/atom. The formation energy comes out at 2011 meV/atom. The calculation puts the calculated volume at 38.55 Å³ per atom. As for the crystal system: cubic.


(22)
Here is a geometry-optimized InBiC3 structure from Alexandria. Energies are from PBE.

abc: 4.571 4.571 4.571
angles: 90.00 90.00 90.00
Space group Pm-3m (No. 221)
Symmetry-distinct sites (fractional):
In 0.000 0.000 0.000 (multiplicity 1)
Bi 0.500 0.500 0.500 (multiplicity 1)
C 0.000 0.500 0.500 (multiplicity 3)

The polymorph energy (0 for the lowest one) is 0.2324 eV/atom. The formation energy comes out at 3088 meV/atom. The calculation puts the calculated volume at 19.10 Å³ per atom. As for the crystal system: cubic.


(23)
Here is a geometry-optimized In2BiC structure from Alexandria. Energies are from PBE.

abc: 6.163 6.163 10.897
angles: 90.00 90.00 90.00
Space group I-42d (No. 122)
Symmetry-distinct sites (fractional):
In 0.138 0.250 0.125 (multiplicity 8)
Bi 0.000 0.000 0.500 (multiplicity 4)
C 0.000 0.000 0.000 (multiplicity 4)

The formation energy comes out at 679 meV/atom. The calculation puts the calculated volume at 25.87 Å³ per atom. As for the crystal system: tetragonal.


(24)
Here is a geometry-optimized KInBiC2 structure from Alexandria. Energies are from PBE.

abc: 4.646 4.646 5.902
angles: 90.00 90.00 90.00
Space group P4/mmm (No. 123)
Symmetry-distinct sites (fractional):
K 0.000 0.000 0.000 (multiplicity 1)
In 0.500 0.500 0.500 (multiplicity 1)
Bi 0.500 0.500 0.000 (multiplicity 1)
C 0.000 0.500 0.500 (multiplicity 2)

The formation energy comes out at 2062 meV/atom. The calculation puts the calculated volume at 25.48 Å³ per atom. As for the crystal system: tetragonal.


(25)
Here is a geometry-optimized Pm4InBiC structure from Alexandria. Energies are from PBE.

abc: 7.071 16.437 7.068
angles: 90.00 90.00 90.00
Space group Cmcm (No. 63)
Symmetry-distinct sites (fractional):
Pm 0.000 0.089 0.250 (multiplicity 4)
Pm 0.000 0.407 0.250 (multiplicity 4)
Pm 0.250 0.250 0.000 (multiplicity 8)
In 0.000 0.113 0.750 (multiplicity 4)
Bi 0.000 0.392 0.750 (multiplicity 4)
C 0.000 0.251 0.250 (multiplicity 4)

The formation energy comes out at -486 meV/atom. The calculation puts the calculated volume at 29.34 Å³ per atom. As for the crystal system: orthorhombic.


(26)
Here is a geometry-optimized ScInBi2C structure from Alexandria. Energies are from PBE.

abc: 5.541 5.541 5.768
angles: 90.00 90.00 90.00
Space group P4/mmm (No. 123)
Symmetry-distinct sites (fractional):
Sc 0.000 0.000 0.000 (multiplicity 1)
In 0.000 0.000 0.500 (multiplicity 1)
Bi 0.000 0.500 0.000 (multiplicity 2)
C 0.500 0.500 0.500 (multiplicity 1)

The formation energy comes out at 1544 meV/atom. The calculation puts the calculated volume at 35.42 Å³ per atom. As for the crystal system: tetragonal.


(27)
Here is a geometry-optimized Sr2InBiC structure from Alexandria. Energies are from PBE.

abc: 5.659 5.659 4.342
angles: 90.00 90.00 90.00
Space group P4/mmm (No. 123)
Symmetry-distinct sites (fractional):
Sr 0.000 0.500 0.000 (multiplicity 2)
In 0.000 0.000 0.500 (multiplicity 1)
Bi 0.500 0.500 0.500 (multiplicity 1)
C 0.000 0.000 0.000 (multiplicity 1)

The formation energy comes out at -82 meV/atom. The calculation puts the calculated volume at 27.81 Å³ per atom. As for the crystal system: tetragonal.


(28)
Here is a geometry-optimized Tb4InBiC structure from Alexandria. Energies are from PBE.

abc: 6.878 16.102 6.876
angles: 90.00 90.00 90.00
Space group Cmcm (No. 63)
Symmetry-distinct sites (fractional):
Tb 0.000 0.090 0.250 (multiplicity 4)
Tb 0.000 0.405 0.250 (multiplicity 4)
Tb 0.250 0.250 0.000 (multiplicity 8)
In 0.000 0.112 0.750 (multiplicity 4)
Bi 0.000 0.393 0.750 (multiplicity 4)
C 0.000 0.251 0.250 (multiplicity 4)

The formation energy comes out at -552 meV/atom. The calculation puts the calculated volume at 27.20 Å³ per atom. As for the crystal system: orthorhombic.